[1]
{"formula": "LaMnTl2", "functional": "SCAN", "state": "PBEsol geometry", "lattice_angstrom": [[2.3146, 1.3363, 5.5247], [-2.3146, 1.3363, 5.5247], [0.0000, -2.6726, 5.5247]], "species": ["La", "Mn", "Tl", "Tl"], "fractional_positions": [[0.0000, 0.0000, 0.0000], [0.5000, 0.5000, 0.5000], [0.2225, 0.2225, 0.2225], [0.7775, 0.7775, 0.7775]], "total_energy_ev_per_atom": -51.88, "formation_enthalpy_0k_mev_per_atom": -357}



[2]
{"formula": "BeW", "functional": "SCAN", "state": "PBEsol geometry", "lattice_angstrom": [[4.5791, -1.3170, 0.0000], [4.5791, 1.3170, 0.0000], [-2.2213, 0.0000, 6.1156]], "species": ["Be", "Be", "Be", "W", "W", "W"], "fractional_positions": [[0.0000, 0.0000, 0.0000], [0.0680, 0.0680, 0.5027], [0.6556, 0.6556, 0.2912], [0.3664, 0.3664, 0.6291], [0.3671, 0.3671, 0.2176], [0.6815, 0.6815, 0.8476]], "total_energy_ev_per_atom": -36.80, "e_above_lowest_polymorph_mev_per_atom": 404.4, "formation_enthalpy_0k_mev_per_atom": 221}



[3]
{"formula": "Ni2AgTe", "functional": "SCAN", "state": "PBEsol geometry", "lattice_angstrom": [[-1.8847, 1.8847, 4.1468], [1.8847, -1.8847, 4.1468], [1.8847, 1.8847, -4.1468]], "species": ["Ni", "Ni", "Ag", "Te"], "fractional_positions": [[0.0000, 0.0000, 0.0000], [0.7500, 0.2500, 0.5000], [0.2500, 0.7500, 0.5000], [0.5000, 0.5000, 0.0000]], "total_energy_ev_per_atom": -25.00, "e_form_raw_kcal_per_mol_atoms": 5.6}



[4]
{"formula": "FeCu2Si", "functional": "SCAN", "state": "PBEsol geometry", "lattice_angstrom": [[-1.3238, 1.9698, 4.2534], [1.3238, -1.9698, 4.2534], [1.3238, 1.9698, -4.2534]], "species": ["Fe", "Cu", "Cu", "Si"], "fractional_positions": [[0.0000, 0.0000, 0.0000], [0.2625, 0.7625, 0.5000], [0.7375, 0.2375, 0.5000], [0.5000, 0.5000, 0.0000]], "total_energy_ev_per_atom": -14.67, "e_form_raw_kcal_per_mol_atoms": -0.9}



[5]
{"formula": "HfReBi3", "functional": "SCAN", "state": "PBEsol geometry", "lattice_angstrom": [[5.4933, 0.0000, 0.0000], [0.0000, 5.4933, 0.0000], [0.0000, 0.0000, 5.4933]], "species": ["Hf", "Re", "Bi", "Bi", "Bi"], "fractional_positions": [[0.0000, 0.0000, 0.0000], [0.5000, 0.5000, 0.5000], [0.0000, 0.0000, 0.5000], [0.0000, 0.5000, 0.0000], [0.5000, 0.0000, 0.0000]], "total_energy_ev_per_atom": -72.32, "formation_enthalpy_0k_mev_per_atom": 1578}



[6]
{"formula": "ZnHg2Pb2", "functional": "SCAN", "state": "PBEsol geometry", "lattice_angstrom": [[-1.9646, 1.9646, 8.5675], [1.9646, -1.9646, 8.5675], [1.9646, 1.9646, -8.5675]], "species": ["Zn", "Hg", "Hg", "Pb", "Pb"], "fractional_positions": [[0.0000, 0.0000, 0.0000], [0.2500, 0.7500, 0.5000], [0.7500, 0.2500, 0.5000], [0.4047, 0.4047, 0.0000], [0.5953, 0.5953, 0.0000]], "total_energy_ev_per_atom": -60.05, "formation_enthalpy_0k_mev_per_atom": 230}



[7]
{"formula": "Ta2TeOsF", "functional": "SCAN", "state": "PBEsol geometry", "lattice_angstrom": [[5.0643, 0.0000, 0.0000], [0.0000, 5.0643, 0.0000], [0.0000, 0.0000, 3.8560]], "species": ["Ta", "Ta", "Te", "Os", "F"], "fractional_positions": [[0.0000, 0.5000, 0.0000], [0.5000, 0.0000, 0.0000], [0.0000, 0.0000, 0.0000], [0.5000, 0.5000, 0.5000], [0.0000, 0.0000, 0.5000]], "total_energy_ev_per_atom": -47.81, "e_form_raw_kcal_per_mol_atoms": 31.3}



[8]
{"formula": "AgHgIr2", "functional": "SCAN", "state": "PBEsol geometry", "lattice_angstrom": [[2.7748, -4.0927, 0.0000], [2.7748, 4.0927, 0.0000], [0.0000, 0.0000, 2.8096]], "species": ["Ag", "Hg", "Ir", "Ir"], "fractional_positions": [[0.0000, 0.0000, 0.0000], [0.5000, 0.5000, 0.0000], [0.0000, 0.5000, 0.5000], [0.5000, 0.0000, 0.5000]], "total_energy_ev_per_atom": -59.72, "formation_enthalpy_0k_mev_per_atom": 717}



Q: Which formula does entry 4 have?
A: FeCu2Si